Compound: Y2HgAu
Source: the Alexandria database
Functional: PBE
Structure: optimized geometry

Cell: 3.7431 3.7431 27.5910 Å, 90.00 90.00 120.00°
Last column: nearest neighbours and their distance in Å.
Element x y z (fractional)
Y 0.0000 0.0000 0.0000  3 Au 2.94
Y 0.0000 0.0000 0.2283  3 Hg 3.15
Y 0.3333 0.6667 0.6667  3 Au 2.94
Y 0.3333 0.6667 0.8949  3 Hg 3.15
Y 0.6667 0.3333 0.3333  3 Au 2.94
Y 0.6667 0.3333 0.5616  3 Hg 3.15
Hg 0.0000 0.0000 0.4783  3 Au 2.95, 3 Y 3.15
Hg 0.3333 0.6667 0.1450  3 Au 2.95, 3 Y 3.15
Hg 0.6667 0.3333 0.8117  3 Au 2.95, 3 Y 3.15
Au 0.0000 0.0000 0.7387  3 Y 2.94, 3 Hg 2.95
Au 0.3333 0.6667 0.4053  3 Y 2.94, 3 Hg 2.95
Au 0.6667 0.3333 0.0720  3 Y 2.94, 3 Hg 2.95

D(E_F) ... 0.9966 states/eV/atom
Volume ... 27.90 Å³ per atom
ΔE_f ... -0.273 eV/atom

***

Compound: TbHgBr3
Source: the Alexandria database
Functional: PBE
Structure: optimized geometry

Cell: 5.6449 5.6449 5.6449 Å, 90.00 90.00 90.00°
Last column: nearest neighbours and their distance in Å.
Element x y z (fractional)
Tb 0.0000 0.0000 0.0000  6 Br 2.82
Hg 0.5000 0.5000 0.5000  12 Br 3.99
Br 0.0000 0.0000 0.5000  2 Tb 2.82
Br 0.0000 0.5000 0.0000  2 Tb 2.82
Br 0.5000 0.0000 0.0000  2 Tb 2.82

ΔE to the lowest computed polymorph ... 58 meV per atom
D(E_F) ... 0.0000 states/eV/atom
Formation energy without anion corrections ... -1377 meV/atom
Volume ... 35.97 Å³ per atom

***

Compound: Y3ErC2
Source: the Alexandria database
Functional: PBE
Structure: optimized geometry

Cell: 7.1709 7.1709 6.2256 Å, 90.00 90.00 120.00°
Last column: nearest neighbours and their distance in Å.
Element x y z (fractional)
Y 0.1664 0.3328 0.2819  3 C 2.47-2.48
Y 0.1664 0.8336 0.2819  3 C 2.47-2.48
Y 0.3328 0.1664 0.7181  3 C 2.47-2.48
Y 0.6672 0.8336 0.2819  3 C 2.47-2.48
Y 0.8336 0.1664 0.7181  3 C 2.47-2.48
Y 0.8336 0.6672 0.7181  3 C 2.47-2.48
Er 0.3333 0.6667 0.7101  3 C 2.45
Er 0.6667 0.3333 0.2899  3 C 2.45
C 0.0000 0.0000 0.5000  6 Y 2.47
C 0.0000 0.5000 0.5000  2 Er 2.45, 4 Y 2.48
C 0.5000 0.0000 0.5000  2 Er 2.45, 4 Y 2.48
C 0.5000 0.5000 0.5000  2 Er 2.45, 4 Y 2.48

D(E_F) ... 0.7817 states/eV/atom
Volume ... 23.10 Å³ per atom
ΔE_f ... -0.274 eV/atom

***

Compound: Te2MoW3Se2S4
Source: the Alexandria database
Functional: PBE
Structure: optimized geometry

Cell: 3.3036 3.3036 35.8535 Å, 90.00 90.00 120.00°
Last column: nearest neighbours and their distance in Å.
Element x y z (fractional)
Te 0.0000 0.0000 0.0000  3 Mo 2.70
Te 0.0000 0.0000 0.1068  3 Mo 2.70
Mo 0.6667 0.3333 0.0534  6 Te 2.70
W 0.0000 0.0000 0.2635  6 Se 2.55
W 0.0000 0.0000 0.6505  6 S 2.45
W 0.6667 0.3333 0.4591  6 S 2.45
Se 0.6667 0.3333 0.2164  3 W 2.55
Se 0.6667 0.3333 0.3107  3 W 2.55
S 0.0000 0.0000 0.4163  3 W 2.45
S 0.0000 0.0000 0.5019  3 W 2.45
S 0.6667 0.3333 0.6077  3 W 2.45
S 0.6667 0.3333 0.6933  3 W 2.45

ΔE to the lowest computed polymorph ... 0 meV per atom
D(E_F) ... 0.0482 states/eV/atom
Formation energy without anion corrections ... -568 meV/atom
Volume ... 28.24 Å³ per atom

***

Compound: NaLiTbHg
Source: the Alexandria database
Functional: PBE
Structure: optimized geometry

Cell: 7.3057 7.3057 7.3057 Å, 90.00 90.00 90.00°
Last column: nearest neighbours and their distance in Å.
Element x y z (fractional)
Na 0.0000 0.0000 0.0000  4 Li 3.16, 4 Hg 3.16
Na 0.0000 0.5000 0.5000  4 Li 3.16, 4 Hg 3.16
Na 0.5000 0.0000 0.5000  4 Li 3.16, 4 Hg 3.16
Na 0.5000 0.5000 0.0000  4 Li 3.16, 4 Hg 3.16
Li 0.2500 0.2500 0.7500  4 Tb 3.16, 4 Na 3.16
Li 0.2500 0.7500 0.2500  4 Tb 3.16, 4 Na 3.16
Li 0.7500 0.2500 0.2500  4 Tb 3.16, 4 Na 3.16
Li 0.7500 0.7500 0.7500  4 Tb 3.16, 4 Na 3.16
Tb 0.0000 0.0000 0.5000  4 Hg 3.16, 4 Li 3.16
Tb 0.0000 0.5000 0.0000  4 Hg 3.16, 4 Li 3.16
Tb 0.5000 0.0000 0.0000  4 Hg 3.16, 4 Li 3.16
Tb 0.5000 0.5000 0.5000  4 Hg 3.16, 4 Li 3.16
Hg 0.2500 0.2500 0.2500  4 Na 3.16, 4 Tb 3.16
Hg 0.2500 0.7500 0.7500  4 Tb 3.16, 4 Na 3.16
Hg 0.7500 0.2500 0.7500  4 Tb 3.16, 4 Na 3.16
Hg 0.7500 0.7500 0.2500  4 Tb 3.16, 4 Na 3.16

D(E_F) ... 1.0854 states/eV/atom
Volume ... 24.37 Å³ per atom
ΔE_f ... -0.084 eV/atom

***

Compound: BRhCl3
Source: the Alexandria database
Functional: PBE
Structure: optimized geometry

Cell: 4.3985 4.3985 4.3985 Å, 90.00 90.00 90.00°
Last column: nearest neighbours and their distance in Å.
Element x y z (fractional)
B 0.0000 0.0000 0.0000  6 Cl 2.20
Rh 0.5000 0.5000 0.5000  12 Cl 3.11
Cl 0.0000 0.0000 0.5000  2 B 2.20
Cl 0.0000 0.5000 0.0000  2 B 2.20
Cl 0.5000 0.0000 0.0000  2 B 2.20

ΔE to the lowest computed polymorph ... 92 meV per atom
D(E_F) ... 0.9133 states/eV/atom
Formation energy without anion corrections ... 764 meV/atom
Volume ... 17.02 Å³ per atom